Entry 1:
Entry from Alexandria via LeMat-Bulk: a relaxed structure of Li2YS2 (GGA-PBE).

```
Li2YS2
1.0
-0.309 5.360 -4.921
-7.273 -0.084 0.365
0.107 2.497 2.713
Y S Li
2 4 4
direct
0.000 0.000 0.000
0.500 0.500 0.000
0.324 0.824 0.000
0.824 0.676 0.000
0.676 0.176 0.000
0.176 0.324 0.000
0.136 0.636 0.500
0.636 0.864 0.500
0.864 0.364 0.500
0.364 0.136 0.500
```

Formation energy (no corrections) ... -1.25 eV per atom
Total magnetic moment ... 0.000 μB/atom
Final energy ... -4.9554 eV/atom
Space-group type ... P4/mbm


Entry 2:
Entry from Alexandria via LeMat-Bulk: a relaxed structure of LiY2S3 (GGA-PBE).

```
LiY2S3
1.0
-1.946 1.946 8.248
1.946 -1.946 8.248
1.946 1.946 -8.248
Li Y S
1 2 3
direct
0.000 0.000 0.000
0.660 0.660 0.000
0.340 0.340 0.000
0.500 0.500 0.000
0.833 0.833 0.000
0.167 0.167 0.000
```

Formation energy (no corrections) ... -1.88 eV per atom
Total magnetic moment ... 0.000 μB/atom
Final energy ... -6.4180 eV/atom
Space-group type ... I4/mmm